Below is VHRh2F after structural relaxation, with properties calculated at the PBE+U level.

The final energy comes out at -5.166 eV per atom. Its space-group type is P4/mmm, No. 123. The value obtained for the density is 7822 kg/m³.

Structure (CIF):
```
data_VHRh2F
_cell_length_a 3.677
_cell_length_b 4.346
_cell_length_c 3.677
_cell_angle_alpha 90.00
_cell_angle_beta 90.00
_cell_angle_gamma 90.00
_symmetry_space_group_name_H-M 'P 1'
_symmetry_Int_Tables_number 1
_symmetry_space_group_name_Hall 'P 1'
loop_
_atom_site_label
_atom_site_fract_x
_atom_site_fract_y
_atom_site_fract_z
V1 0.500 0.500 0.500
Rh1 0.500 0.000 0.000
F1 0.000 0.500 0.000
H1 0.000 0.000 0.000
Rh2 0.000 0.000 0.500
```